Below is a relaxed SrSiGeI2 crystal, with properties calculated at the PBE level.

a = 5.866 Å, b = 5.866 Å, c = 4.970 Å
α = 90.00°, β = 90.00°, γ = 90.00°
Space group P4/mmm (No. 123)
Unique sites:
Sr (0.000, 0.000, 0.000) [1 per cell]
Si (0.500, 0.500, 0.000) [1 per cell]
Ge (0.500, 0.500, 0.500) [1 per cell]
I (0.000, 0.500, 0.500) [2 per cell]

Formation energy (no corrections) in eV per atom: -0.0767
Final energy in eV/atom: -3.041
DOS(E_F) in states/eV per atom: 0.64
Size of the total moment in μB per formula unit: 0.92